Density functional theory data (PBE) for crystalline Rb3Sm3TeS8 at its relaxed geometry.

a b c (Å): 9.154 9.154 9.154
angles (deg): 53.30 53.30 53.30
Fractional positions:
Rb 0.000 0.500 0.500
Rb 0.500 0.000 0.500
Rb 0.500 0.500 0.000
Sm 0.000 0.000 0.500
Sm 0.000 0.500 0.000
Sm 0.500 0.000 0.000
Te 0.500 0.500 0.500
S 0.231 0.231 0.231
S 0.243 0.722 0.722
S 0.278 0.278 0.757
S 0.278 0.757 0.278
S 0.722 0.243 0.722
S 0.722 0.722 0.243
S 0.757 0.278 0.278
S 0.769 0.769 0.769

***

Density functional theory data (PBE) for crystalline Rb3Sm2ThS6 at its relaxed geometry.

a b c (Å): 7.203 7.203 8.098
angles (deg): 98.52 98.52 120.00
Fractional positions:
Rb 0.000 0.000 0.000
Rb 0.332 0.668 0.000
Rb 0.668 0.332 0.000
Sm 0.167 0.833 0.500
Sm 0.833 0.167 0.500
Th 0.500 0.500 0.500
S 0.104 0.434 0.302
S 0.236 0.236 0.698
S 0.434 0.104 0.302
S 0.566 0.896 0.698
S 0.764 0.764 0.302
S 0.896 0.566 0.698

***

| no. | formation energy without anion corrections (kcal/mol of atoms) | Fermi-level density of states (states/eV/f.u.) |
| --- | --- | --- |
| 1 | -33.9 | 0.00 |
| 2 | -41.0 | 4.43 |